(1)
DFT (GGA-PBE) results for Mg4Cd2Hg after structural relaxation.

Summary:
VASP energy	-1.281	eV/atom
DOS at the Fermi energy	2.7	states/eV per cell
energy above the lowest structure with this stoichiometry	0.28	eV/f.u.
M_tot	0.0	μB/cell
V	163	Å³/cell

abc: 8.538 8.538 8.538
angles: 32.87 32.87 32.87
Positions (direct):
Mg: 0.122 0.122 0.122
Mg: 0.372 0.372 0.372
Mg: 0.628 0.628 0.628
Mg: 0.878 0.878 0.878
Cd: 0.253 0.253 0.253
Cd: 0.747 0.747 0.747
Hg: 0.500 0.500 0.500

=====

(2)
DFT (GGA-PBE) results for SiTc2AgPb after structural relaxation.

Summary:
uncorrected formation energy	2.04	eV/atom
VASP energy	-4.499	eV/atom
DOS at the Fermi energy	4.0	states/eV per cell
M_tot	6.8	μB/cell
V	133	Å³/cell

abc: 5.097 5.097 5.127
angles: 90.00 90.00 90.00
Positions (direct):
Si: 0.000 0.000 0.000
Tc: 0.000 0.500 0.500
Tc: 0.500 0.000 0.500
Ag: 0.500 0.500 0.500
Pb: 0.500 0.500 0.000

=====

Question: Number 2 is which compound?
Answer: SiTc2AgPb

=====

Repeat the first record exactly.
DFT (GGA-PBE) results for Mg4Cd2Hg after structural relaxation.

Summary:
VASP energy	-1.281	eV/atom
DOS at the Fermi energy	2.7	states/eV per cell
energy above the lowest structure with this stoichiometry	0.28	eV/f.u.
M_tot	0.0	μB/cell
V	163	Å³/cell

abc: 8.538 8.538 8.538
angles: 32.87 32.87 32.87
Positions (direct):
Mg: 0.122 0.122 0.122
Mg: 0.372 0.372 0.372
Mg: 0.628 0.628 0.628
Mg: 0.878 0.878 0.878
Cd: 0.253 0.253 0.253
Cd: 0.747 0.747 0.747
Hg: 0.500 0.500 0.500

=====

Question: Which of these has the lowest DOS at the Fermi energy?
Answer: Mg4Cd2Hg

=====

Question: Which of these has the highest DOS at the Fermi energy?
Answer: SiTc2AgPb